{
  "formula": "CrFeW2",
  "functional": "SCAN",
  "state": "single point on PBEsol structure",
  "delta_e_f_mev_per_atom": 101,
  "dos_ef_per_ev_atom": 0.488,
  "rho_g_cm3": 14.86,
  "lattice": [[-1.982, -1.775, -1.390], [1.631, 0.149, -2.516], [3.057, -4.745, 1.702]],
  "species": ["Cr", "Fe", "W", "W"],
  "frac_coords": [[0.500, 0.500, 0.000], [0.500, 0.500, 0.500], [0.000, 0.000, 0.751], [0.000, 0.000, 0.249]]
}